This record from the Alexandria database describes a relaxed La2CrAg2 crystal. The functional is GGA-PBE.

The calculation puts the distance to the lowest polymorph of the same formula at 0.324 eV per atom. The space-group type is No. 127. The calculation puts the total energy at -22.45 eV per formula unit. The formation energy comes out at 2.73 eV per formula unit.

Geometry as POSCAR:
```
La2CrAg2
1.0
-6.1438 2.5975 -3.8160
-1.9351 -7.2168 -1.7969
-2.3961 -0.2719 3.6727
La Ag Cr
4 4 2
Direct
0.6745 0.1745 0.0000
0.8255 0.6745 0.0000
0.3255 0.8255 0.0000
0.1745 0.3255 0.0000
0.3697 0.1303 0.5000
0.6303 0.8697 0.5000
0.8697 0.3697 0.5000
0.1303 0.6303 0.5000
0.5000 0.5000 0.0000
0.0000 0.0000 0.0000
```